HfCrSnBr2: relaxed, GGA-PBE.

Output
For the density, the calculation gives 6.3 Mg/m³. The value obtained for the uncorrected formation energy is 464 meV/atom. The value obtained for the density of states at the Fermi level is 3.9 states/eV/f.u. For the total magnetization, the calculation gives 4.1 μB/f.u.

a b c (Å): 4.786 5.875 4.786
angles (deg): 90.00 90.00 90.00
Sites, in units of the cell vectors:
Cr1 0.000 0.000 0.000
Hf1 0.500 0.500 0.500
Sn1 0.000 0.500 0.000
Br1 0.000 0.000 0.500
Br2 0.500 0.000 0.000

=====

HfCrTe2Br: relaxed, GGA-PBE.

Output
For the density, the calculation gives 5.8 Mg/m³. The value obtained for the uncorrected formation energy is 14 meV/atom. The value obtained for the density of states at the Fermi level is 2.0 states/eV/f.u. For the total magnetization, the calculation gives 4.9 μB/f.u.

a b c (Å): 5.622 5.138 5.622
angles (deg): 90.00 90.00 90.00
Sites, in units of the cell vectors:
Cr1 0.500 0.500 0.500
Te1 0.000 0.000 0.500
Te2 0.500 0.000 0.000
Hf1 0.000 0.000 0.000
Br1 0.000 0.500 0.000

=====

Hf2CrWBr: relaxed, GGA-PBE.

Output
For the density, the calculation gives 10.7 Mg/m³. The value obtained for the uncorrected formation energy is 1388 meV/atom. The value obtained for the density of states at the Fermi level is 5.6 states/eV/f.u. For the total magnetization, the calculation gives 0.1 μB/f.u.

a b c (Å): 4.923 4.288 4.923
angles (deg): 90.00 90.00 90.00
Sites, in units of the cell vectors:
Cr1 0.000 0.000 0.000
Hf1 0.000 0.000 0.500
Hf2 0.500 0.000 0.000
Br1 0.000 0.500 0.000
W1 0.500 0.500 0.500

=====

V readings, ordered: 134.6 162.4 103.9 Å³/cell